A plane-wave DFT calculation with PBE was carried out for a relaxed structure of Ba2CrCu.

Cell: 4.024 4.050 8.294 Å, 90.00 90.00 90.00°
Atoms (fractional coordinates):
Ba 0.000 0.000 0.232
Ba 0.000 0.000 0.768
Cr 0.500 0.500 0.500
Cu 0.500 0.500 0.000

Values from the calculation:
The space-group type is Pmmm (47). Its electronic total energy is -3.93 eV per atom. Its density of states at the Fermi level is 3.6 states/eV/cell. The value obtained for the magnetization is 1.18 μB per atom.